Record 1
Below is crystalline TeAsPt2 at its relaxed geometry, with properties calculated at the PBE-GGA level.

DFT total energy   -4.638 eV/atom
Formation energy from raw total energies   31.83 kJ/mol of atoms
V   302 Å³ per cell

abc: 6.7068 6.7068 6.7068
angles: 90.00 90.00 90.00
Last column: nearest neighbours and their distance in Å.
Space group F-43m (No. 216)
Asymmetric unit:
Te1 0.0000 0.0000 0.0000  4 As 2.90, 4 Pt 2.90
As1 0.2500 0.2500 0.2500  4 Te 2.90, 4 Pt 2.90
Pt1 0.0000 0.0000 0.5000  4 As 2.90, 4 Pt 2.90
Pt2 0.2500 0.2500 0.7500  4 Te 2.90, 4 Pt 2.90

Record 2
Below is crystalline Te4AsPt at its relaxed geometry, with properties calculated at the PBE-GGA level.

DFT total energy   -2.896 eV/atom
Formation energy from raw total energies   94.57 kJ/mol of atoms
V   654 Å³ per cell

abc: 8.6810 8.6810 8.6810
angles: 90.00 90.00 90.00
Last column: nearest neighbours and their distance in Å.
Space group F-43m (No. 216)
Asymmetric unit:
Te1 0.1244 0.1244 0.3756  6 Te 3.05-3.09
As1 0.0000 0.0000 0.0000  12 Te 3.60, 4 Pt 3.76
Pt1 0.2500 0.2500 0.7500  12 Te 3.60, 4 As 3.76

Record 3
Below is crystalline Th4Te2AsPt at its relaxed geometry, with properties calculated at the PBE-GGA level.

DFT total energy   -7.043 eV/atom
Formation energy from raw total energies   -116.92 kJ/mol of atoms
V   238 Å³ per cell

abc: 7.5879 4.2539 7.7551
angles: 90.00 108.29 90.00
Last column: nearest neighbours and their distance in Å.
Space group P2/m (No. 10)
Asymmetric unit:
Th1 0.2277 0.0000 0.2133  2 Pt 2.91, 1 As 3.02, 1 Te 3.22
Th2 0.2580 0.5000 0.7806  1 Pt 2.97, 2 As 2.97, 3 Te 3.23-3.26
Te1 0.0000 0.0000 0.5000  6 Th 3.22-3.23
Te2 0.5000 0.5000 0.5000  6 Th 3.26-3.29
As1 0.5000 0.0000 0.0000  6 Th 2.97-3.02
Pt1 0.0000 0.5000 0.0000  6 Th 2.91-2.97

Record 4
Below is crystalline Th6Te3AsPt2 at its relaxed geometry, with properties calculated at the PBE-GGA level.

DFT total energy   -7.088 eV/atom
Formation energy from raw total energies   -115.65 kJ/mol of atoms
V   719 Å³ per cell

abc: 7.5292 12.9929 7.7630
angles: 90.00 108.77 90.00
Last column: nearest neighbours and their distance in Å.
Space group C2/m (No. 12)
Asymmetric unit:
Th1 0.2248 0.0000 0.2105  2 Pt 2.91, 1 As 3.02, 1 Te 3.22
Th2 0.2437 0.3274 0.2133  2 Pt 2.91-2.92, 1 As 3.03, 1 Te 3.26
Te1 0.0000 0.0000 0.5000  6 Th 3.22-3.31
Te2 0.0000 0.3397 0.5000  6 Th 3.26-3.31
As1 0.0000 0.5000 0.0000  6 Th 3.02-3.03
Pt1 0.0000 0.1673 0.0000  6 Th 2.91-2.92

Record 5
Below is crystalline Th8Te4As3Pt at its relaxed geometry, with properties calculated at the PBE-GGA level.

DFT total energy   -6.976 eV/atom
Formation energy from raw total energies   -118.85 kJ/mol of atoms
V   1419 Å³ per cell

abc: 8.6461 8.6461 21.9255
angles: 90.00 90.00 120.00
Last column: nearest neighbours and their distance in Å.
Space group R-3m (No. 166, hexagonal axes)
Asymmetric unit:
Th1 0.0000 0.0000 0.2396  3 As 2.96, 3 Te 3.23
Th2 0.0055 0.5028 0.2392  1 Pt 2.92, 2 As 2.98, 3 Te 3.22-3.27
Te1 0.0000 0.0000 0.0000  6 Th 3.27
Te2 0.0000 0.5000 0.0000  6 Th 3.22-3.23
As1 0.0000 0.5000 0.5000  6 Th 2.96-2.98
Pt1 0.0000 0.0000 0.5000  6 Th 2.92

Record 6
Below is crystalline Tm8Te3AsPt3 at its relaxed geometry, with properties calculated at the PBE-GGA level.

DFT total energy   -5.686 eV/atom
Formation energy from raw total energies   -111.42 kJ/mol of atoms
V   826 Å³ per cell

abc: 14.2117 8.1827 8.5441
angles: 90.00 123.79 90.00
Last column: nearest neighbours and their distance in Å.
Space group C2/m (No. 12)
Asymmetric unit:
Tm1 0.0142 0.2421 0.2846  2 Pt 2.79, 1 As 2.88
Tm2 0.2367 0.0000 0.7100  3 Pt 2.80
Tm3 0.2437 0.5000 0.7154  2 Pt 2.79, 1 As 2.88
Te1 0.0000 0.5000 0.0000  6 Tm 3.14
Te2 0.2500 0.2500 0.0000  6 Tm 3.14
As1 0.0000 0.5000 0.5000  6 Tm 2.88
Pt1 0.0000 0.0000 0.5000  6 Tm 2.79-2.80
Pt2 0.2500 0.2500 0.5000  6 Tm 2.79-2.80